1.
A relaxed Mg2Pd3Au6 crystal. Source: the Alexandria database, functional GGA-PBE. Values from VASP.

* symmetry: P-1
* energy relative to the lowest polymorph listed for this composition: 0.000 eV/atom
* density of states at the Fermi level: 3.242 states/eV per cell
* volume: 187.8 Å³/f.u.
* E_tot: -3.833 eV per atom
* spin magnetization: 0.00 μB per cell
* formation energy: -7.83 kcal/mol of atoms

Geometry as Quantum ESPRESSO input:
```
&SYSTEM
  ibrav = 0, nat = 11, ntyp = 3
/
ATOMIC_SPECIES
Au 196.97 Au.upf
Pd 106.42 Pd.upf
Mg 24.30 Mg.upf
CELL_PARAMETERS angstrom
0.653 -4.676 -1.691
5.426 2.480 -2.362
11.102 -4.590 -0.606
ATOMIC_POSITIONS angstrom
Au 6.701 -2.260 -1.234
Au 10.021 -6.961 -1.905
Au 7.160 0.175 -2.754
Au 11.615 -2.187 -2.092
Au 5.566 -4.599 -2.567
Au 10.479 -4.525 -3.425
Pd 8.369 -4.621 -1.515
Pd 0.000 0.000 0.000
Pd 8.812 -2.165 -3.144
Mg 13.173 -4.501 -2.464
Mg 4.008 -2.285 -2.195
```

=====

2.
A relaxed Mg3PdAu5 crystal. Source: the Alexandria database, functional GGA-PBE. Values from VASP.

* symmetry: I4/mcm
* density of states at the Fermi level: 5.742 states/eV per cell
* volume: 177.0 Å³/f.u.
* E_tot: -3.150 eV per atom
* spin magnetization: 0.00 μB per cell
* formation energy: -5.09 kcal/mol of atoms

Geometry as Quantum ESPRESSO input:
```
&SYSTEM
  ibrav = 0, nat = 18, ntyp = 3
/
ATOMIC_SPECIES
Au 196.97 Au.upf
Mg 24.30 Mg.upf
Pd 106.42 Pd.upf
CELL_PARAMETERS angstrom
8.139 0.000 0.000
0.000 8.139 0.000
-4.070 -4.070 5.344
ATOMIC_POSITIONS angstrom
Au 1.634 2.436 3.928
Au 4.070 4.070 0.000
Au -1.634 -2.436 3.928
Au -2.436 1.634 3.928
Au 2.436 -1.634 3.928
Au 5.703 6.506 1.415
Au 2.436 1.634 1.415
Au 6.506 2.436 1.415
Au 1.634 5.703 1.415
Au 0.000 0.000 0.000
Mg 0.928 3.141 0.000
Mg 0.000 0.000 2.672
Mg 4.070 4.070 2.672
Mg 3.141 7.211 0.000
Mg 4.998 0.928 0.000
Mg 7.211 4.998 0.000
Pd 4.070 0.000 2.672
Pd 0.000 4.070 2.672
```

=====

3.
A relaxed MgPd2Au6 crystal. Source: the Alexandria database, functional GGA-PBE. Values from VASP.

* symmetry: C2/c
* energy relative to the lowest polymorph listed for this composition: 0.000 eV/atom
* density of states at the Fermi level: 5.342 states/eV per cell
* volume: 158.1 Å³/f.u.
* E_tot: -3.711 eV per atom
* spin magnetization: 0.00 μB per cell
* formation energy: -4.49 kcal/mol of atoms

Geometry as Quantum ESPRESSO input:
```
&SYSTEM
  ibrav = 0, nat = 18, ntyp = 3
/
ATOMIC_SPECIES
Au 196.97 Au.upf
Mg 24.30 Mg.upf
Pd 106.42 Pd.upf
CELL_PARAMETERS angstrom
-5.061 3.199 4.004
-4.431 -4.689 3.911
2.836 -2.484 6.137
ATOMIC_POSITIONS angstrom
Au -3.141 -0.744 3.386
Au -3.425 0.644 8.136
Au -4.090 -1.206 6.142
Au -3.231 -4.618 5.916
Au -1.859 -5.586 10.172
Au -0.841 -5.174 7.503
Au -3.515 -3.229 10.666
Au -2.315 0.991 5.424
Au -4.341 -4.965 8.628
Au -2.566 -2.768 7.910
Au -5.815 1.200 6.549
Au -4.797 1.612 3.880
Mg -7.192 -1.175 7.259
Mg 0.536 -2.799 6.793
Pd -5.000 -1.547 8.855
Pd -1.656 -2.427 5.197
Pd -0.906 -0.554 7.407
Pd -5.750 -3.420 6.645
```

=====

4.
A relaxed Mg2Pd4Au3 crystal. Source: the Alexandria database, functional GGA-PBE. Values from VASP.

* symmetry: P-1
* energy relative to the lowest polymorph listed for this composition: 0.000 eV/atom
* density of states at the Fermi level: 3.138 states/eV per cell
* volume: 148.9 Å³/f.u.
* E_tot: -4.220 eV per atom
* spin magnetization: 0.00 μB per cell
* formation energy: -10.73 kcal/mol of atoms

Geometry as Quantum ESPRESSO input:
```
&SYSTEM
  ibrav = 0, nat = 9, ntyp = 3
/
ATOMIC_SPECIES
Pd 106.42 Pd.upf
Au 196.97 Au.upf
Mg 24.30 Mg.upf
CELL_PARAMETERS angstrom
4.069 -0.002 0.005
2.033 4.317 1.207
0.009 0.324 8.566
ATOMIC_POSITIONS angstrom
Pd 2.036 4.409 4.047
Pd 4.076 3.170 8.423
Pd 4.075 0.231 5.731
Pd 2.036 1.469 1.355
Au 0.000 0.000 0.000
Au 2.038 1.571 4.194
Au 4.074 3.068 5.583
Mg 2.042 1.702 7.115
Mg 4.070 2.937 2.662
```

=====

5.
A relaxed Mg2PdAu8 crystal. Source: the Alexandria database, functional GGA-PBE. Values from VASP.

* symmetry: C2/m
* energy relative to the lowest polymorph listed for this composition: 0.000 eV/atom
* density of states at the Fermi level: 2.631 states/eV per cell
* volume: 193.5 Å³/f.u.
* E_tot: -3.479 eV per atom
* spin magnetization: 0.00 μB per cell
* formation energy: -7.70 kcal/mol of atoms

Geometry as Quantum ESPRESSO input:
```
&SYSTEM
  ibrav = 0, nat = 11, ntyp = 3
/
ATOMIC_SPECIES
Pd 106.42 Pd.upf
Au 196.97 Au.upf
Mg 24.30 Mg.upf
CELL_PARAMETERS angstrom
3.949 0.000 -1.131
-0.300 6.524 -1.048
0.055 -0.903 7.654
ATOMIC_POSITIONS angstrom
Pd 1.974 0.000 -0.565
Au 1.504 2.869 5.253
Au 1.267 0.020 4.426
Au 0.742 3.742 2.591
Au 2.200 2.752 0.222
Au 2.962 1.879 2.884
Au -0.039 4.751 -0.135
Au 3.742 0.870 5.610
Au 2.437 5.601 1.050
Mg 3.214 4.691 3.765
Mg 0.490 0.930 1.711
```

=====

6.
A relaxed Mg5Pd2Au2 crystal. Source: the Alexandria database, functional GGA-PBE. Values from VASP.

* symmetry: Amm2
* density of states at the Fermi level: 7.294 states/eV per cell
* volume: 160.0 Å³/f.u.
* E_tot: -3.285 eV per atom
* spin magnetization: 0.00 μB per cell
* formation energy: -11.93 kcal/mol of atoms

Geometry as Quantum ESPRESSO input:
```
&SYSTEM
  ibrav = 0, nat = 18, ntyp = 3
/
ATOMIC_SPECIES
Mg 24.30 Mg.upf
Au 196.97 Au.upf
Pd 106.42 Pd.upf
CELL_PARAMETERS angstrom
-0.650 1.271 4.401
-0.164 -7.724 2.208
8.929 3.392 -2.093
ATOMIC_POSITIONS angstrom
Mg 2.757 1.048 0.104
Mg 4.173 -4.074 1.793
Mg 5.400 -2.119 3.842
Mg 3.930 0.424 2.890
Mg 6.819 3.065 2.554
Mg 0.986 -4.770 3.956
Mg 1.393 -1.543 0.652
Mg 7.062 -1.433 1.458
Mg 5.807 1.108 0.538
Mg 2.350 -2.178 3.409
Au -0.386 -2.224 3.018
Au 4.227 -1.508 1.060
Au 3.820 -4.734 4.364
Au -0.143 -6.722 1.921
Pd 6.989 -4.005 2.190
Pd 6.746 0.493 3.286
Pd 1.114 0.384 2.486
Pd 1.357 -4.114 1.389
```

=====

7.
A relaxed Mg6PdAu3 crystal. Source: the Alexandria database, functional GGA-PBE. Values from VASP.

* symmetry: P2_1/m
* density of states at the Fermi level: 7.181 states/eV per cell
* volume: 182.8 Å³/f.u.
* E_tot: -2.995 eV per atom
* spin magnetization: 0.00 μB per cell
* formation energy: -12.36 kcal/mol of atoms

Geometry as Quantum ESPRESSO input:
```
&SYSTEM
  ibrav = 0, nat = 20, ntyp = 3
/
ATOMIC_SPECIES
Mg 24.30 Mg.upf
Au 196.97 Au.upf
Pd 106.42 Pd.upf
CELL_PARAMETERS angstrom
4.735 0.000 0.000
0.000 7.563 -2.632
0.000 -0.035 10.221
ATOMIC_POSITIONS angstrom
Mg 1.184 0.616 8.744
Mg 1.184 1.806 4.464
Mg 3.552 1.145 6.622
Mg 1.184 6.382 0.967
Mg 1.184 1.095 1.462
Mg 3.552 3.980 7.960
Mg 3.552 5.721 3.125
Mg 3.552 6.911 -1.155
Mg 3.552 6.432 6.127
Mg 1.184 3.548 -0.371
Mg 3.552 2.602 2.447
Mg 1.184 4.926 5.142
Au 3.552 1.675 -0.327
Au 3.552 4.739 0.532
Au 3.552 3.552 5.119
Au 1.184 3.975 2.471
Au 1.184 5.852 7.916
Au 1.184 2.788 7.058
Pd 1.184 7.204 3.620
Pd 3.552 0.323 3.969
```

=====

8.
A relaxed Mg2Pd2Au crystal. Source: the Alexandria database, functional GGA-PBE. Values from VASP.

* symmetry: I4/mmm
* energy relative to the lowest polymorph listed for this composition: 0.288 eV/atom
* density of states at the Fermi level: 2.669 states/eV per cell
* volume: 94.8 Å³/f.u.
* E_tot: -3.675 eV per atom
* spin magnetization: 0.00 μB per cell
* formation energy: -7.03 kcal/mol of atoms

Geometry as Quantum ESPRESSO input:
```
&SYSTEM
  ibrav = 0, nat = 5, ntyp = 3
/
ATOMIC_SPECIES
Mg 24.30 Mg.upf
Pd 106.42 Pd.upf
Au 196.97 Au.upf
CELL_PARAMETERS angstrom
-0.830 0.575 -3.546
-0.687 -3.597 -0.423
-7.428 -0.441 -0.250
ATOMIC_POSITIONS angstrom
Mg -2.184 -1.282 -1.613
Mg -6.760 -2.181 -2.605
Pd -4.508 -0.689 -2.890
Pd -4.437 -2.775 -1.328
Au 0.000 0.000 0.000
```

=====

9.
A relaxed Mg8Pd2Au crystal. Source: the Alexandria database, functional GGA-PBE. Values from VASP.

* symmetry: C2/m
* energy relative to the lowest polymorph listed for this composition: 0.000 eV/atom
* density of states at the Fermi level: 4.251 states/eV per cell
* volume: 213.7 Å³/f.u.
* E_tot: -2.836 eV per atom
* spin magnetization: 0.00 μB per cell
* formation energy: -10.02 kcal/mol of atoms

Geometry as Quantum ESPRESSO input:
```
&SYSTEM
  ibrav = 0, nat = 11, ntyp = 3
/
ATOMIC_SPECIES
Au 196.97 Au.upf
Pd 106.42 Pd.upf
Mg 24.30 Mg.upf
CELL_PARAMETERS angstrom
-3.179 2.777 -1.660
-3.583 -5.245 -1.913
-0.146 0.882 7.952
ATOMIC_POSITIONS angstrom
Au -1.589 1.389 -0.830
Pd -3.849 1.126 3.057
Pd -3.059 -2.712 1.321
Mg -4.086 2.307 5.487
Mg -5.527 -2.745 -0.205
Mg -2.823 -3.893 -1.108
Mg -5.287 -1.019 2.221
Mg -1.622 -0.567 2.157
Mg -1.381 1.159 4.584
Mg -3.562 -0.489 -0.194
Mg -3.347 -1.097 4.573
```

=====

10.
A relaxed Mg2Pd3Au6 crystal. Source: the Alexandria database, functional GGA-PBE. Values from VASP.

* symmetry: I4/mmm
* energy relative to the lowest polymorph listed for this composition: 0.171 eV/atom
* density of states at the Fermi level: 3.587 states/eV per cell
* volume: 209.6 Å³/f.u.
* E_tot: -3.663 eV per atom
* spin magnetization: 0.00 μB per cell
* formation energy: -3.89 kcal/mol of atoms

Geometry as Quantum ESPRESSO input:
```
&SYSTEM
  ibrav = 0, nat = 11, ntyp = 3
/
ATOMIC_SPECIES
Pd 106.42 Pd.upf
Au 196.97 Au.upf
Mg 24.30 Mg.upf
CELL_PARAMETERS angstrom
-0.452 3.535 -1.701
1.435 -1.445 -3.383
-12.923 -4.467 -1.269
ATOMIC_POSITIONS angstrom
Pd -3.727 -1.026 -1.143
Pd 0.000 0.000 0.000
Pd -8.212 -1.351 -5.210
Au -9.919 -3.650 -4.952
Au -6.229 -1.714 -1.909
Au -2.021 1.273 -1.401
Au -1.078 -1.216 -2.242
Au -5.711 -0.662 -4.443
Au -10.862 -1.160 -4.111
Mg -8.710 -2.397 -2.670
Mg -3.230 0.021 -3.683
```

=====

11.
A relaxed Mg5PdAu6 crystal. Source: the Alexandria database, functional GGA-PBE. Values from VASP.

* symmetry: Immm
* density of states at the Fermi level: 3.545 states/eV per cell
* volume: 211.5 Å³/f.u.
* E_tot: -3.294 eV per atom
* spin magnetization: 0.00 μB per cell
* formation energy: -12.88 kcal/mol of atoms

Geometry as Quantum ESPRESSO input:
```
&SYSTEM
  ibrav = 0, nat = 12, ntyp = 3
/
ATOMIC_SPECIES
Mg 24.30 Mg.upf
Au 196.97 Au.upf
Pd 106.42 Pd.upf
CELL_PARAMETERS angstrom
4.242 -0.003 -1.189
-3.117 6.604 -2.978
-0.082 -0.501 7.870
ATOMIC_POSITIONS angstrom
Mg -2.126 4.284 0.564
Mg -1.073 1.819 4.328
Mg -0.539 5.533 -1.939
Mg 0.521 3.050 1.852
Mg 1.582 0.567 5.643
Au -1.361 4.447 3.293
Au 2.404 1.653 0.410
Au -0.242 2.776 -0.872
Au 1.285 3.324 4.575
Au 0.782 0.379 2.787
Au 0.261 5.721 0.916
Pd 0.000 0.000 0.000
```

=====

12.
A relaxed Mg2PdAu7 crystal. Source: the Alexandria database, functional GGA-PBE. Values from VASP.

* symmetry: Cmmm
* density of states at the Fermi level: 4.230 states/eV per cell
* volume: 202.7 Å³/f.u.
* E_tot: -3.216 eV per atom
* spin magnetization: 0.00 μB per cell
* formation energy: -1.93 kcal/mol of atoms

Geometry as Quantum ESPRESSO input:
```
&SYSTEM
  ibrav = 0, nat = 10, ntyp = 3
/
ATOMIC_SPECIES
Au 196.97 Au.upf
Mg 24.30 Mg.upf
Pd 106.42 Pd.upf
CELL_PARAMETERS angstrom
-0.636 -0.073 2.809
-2.826 -8.720 -0.866
8.651 2.416 2.020
ATOMIC_POSITIONS angstrom
Au 2.595 -3.188 1.982
Au 2.090 -0.465 1.938
Au 5.221 -3.853 2.559
Au -0.031 -2.523 1.405
Au -0.719 -6.675 -0.336
Au 3.100 -5.911 2.025
Au 6.545 0.372 1.490
Mg 0.562 -5.161 1.471
Mg 4.628 -1.215 2.493
Pd 0.000 0.000 0.000
```

=====

What is the volume in the second record?
177.0 Å³/f.u.